No. 1
BiIrS2 | Alexandria via LeMat-Bulk | PBE-GGA | optimized geometry; DOS at the Fermi energy = 0.8 states/eV per cell; space group = P2_1/c (14); formation energy without anion corrections = -0.079 eV per atom; calculated total energy = -85.25 eV for the cell shown
1.0
7.0866 0.0000 0.0000
0.0000 5.5078 0.0000
-5.0261 0.0000 9.0264
Bi Ir S
4 4 8
Cartesian
0.1486 0.4487 1.6154
-2.3644 2.3053 6.1286
4.4250 3.2026 2.8978
1.9119 5.0592 7.4111
-2.9506 0.9138 8.5126
-0.4376 1.8401 3.9994
2.4981 3.6677 5.0270
5.0112 4.5940 0.5138
1.4260 3.0769 0.0299
-1.0870 5.1849 4.5431
0.5048 3.9457 3.7613
-2.0082 4.3160 8.2745
4.0688 1.1918 0.7519
1.5557 1.5621 5.2651
3.1476 0.3230 4.4833
0.6345 2.4309 8.9965

No. 2
CaTcNi | Alexandria via LeMat-Bulk | PBE-GGA | optimized geometry; DOS at the Fermi energy = 6.3 states/eV per cell; space group = I4mm (107); calculated total energy = -34.23 eV for the cell shown
1.0
2.9872 0.0000 0.0000
0.0000 2.9872 0.0000
0.0000 0.0000 11.8256
Ca Tc Ni
2 2 2
Cartesian
0.0000 0.0000 0.0000
1.4936 1.4936 5.9128
0.0000 0.0000 3.5415
1.4936 1.4936 9.4543
0.0000 0.0000 8.1642
1.4936 1.4936 2.2514

No. 3
PuSc2Al | Alexandria via LeMat-Bulk | PBE-GGA | optimized geometry; DOS at the Fermi energy = 27.4 states/eV per cell; space group = R3m (160); calculated total energy = -92.67 eV for the cell shown
1.0
3.2641 0.0000 0.0000
-1.6321 2.8268 0.0000
0.0000 0.0000 30.1167
Pu Sc Al
3 6 3
Cartesian
0.0000 0.0000 0.0000
0.0000 1.8845 20.0778
1.6321 0.9423 10.0389
0.0000 0.0000 17.3093
0.0000 0.0000 22.8317
0.0000 1.8845 7.2704
0.0000 1.8845 12.7928
1.6321 0.9423 2.7539
1.6321 0.9423 27.3481
0.0000 0.0000 5.0075
0.0000 1.8845 25.0853
1.6321 0.9423 15.0464

No. 4
BaLaCu2Se4 | Alexandria via LeMat-Bulk | PBE-GGA | optimized geometry; DOS at the Fermi energy = 1.1 states/eV per cell; space group = I-42m (121); formation energy without anion corrections = -1.095 eV per atom; calculated total energy = -75.47 eV for the cell shown
1.0
7.0684 0.0000 0.0000
0.0000 7.0684 0.0000
0.0000 0.0000 8.4324
Ba La Cu Se
2 2 4 8
Cartesian
0.0000 0.0000 0.0000
3.5342 3.5342 4.2162
0.0000 0.0000 4.2162
3.5342 3.5342 0.0000
0.0000 3.5342 2.1081
0.0000 3.5342 6.3243
3.5342 0.0000 2.1081
3.5342 0.0000 6.3243
1.6487 1.6487 6.1621
1.6487 5.4197 2.2703
1.8855 1.8855 1.9459
1.8855 5.1829 6.4865
5.1829 1.8855 6.4865
5.1829 5.1829 1.9459
5.4197 1.6487 2.2703
5.4197 5.4197 6.1621

No. 5
PrThNiPt | Alexandria via LeMat-Bulk | PBE-GGA | optimized geometry; DOS at the Fermi energy = 6.2 states/eV per cell; space group = Amm2 (38); calculated total energy = -54.12 eV for the cell shown
1.0
4.4457 0.0000 0.0000
0.0000 3.8438 0.0000
0.0000 0.0000 11.0239
Pr Th Ni Pt
2 2 2 2
Cartesian
0.0000 0.0000 0.0000
0.0000 1.9219 5.5119
2.2229 0.0000 8.0046
2.2229 1.9219 2.4927
0.0000 0.0000 2.9224
0.0000 1.9219 8.4343
2.2229 0.0000 4.8361
2.2229 1.9219 10.3480

No. 6
SbRhBr | Alexandria via LeMat-Bulk | PBE-GGA | optimized geometry; DOS at the Fermi energy = 11.7 states/eV per cell; space group = F-43m (216); formation energy without anion corrections = 0.003 eV per atom; calculated total energy = -52.55 eV for the cell shown
1.0
6.4982 0.0000 0.0000
0.0000 6.4982 0.0000
0.0000 0.0000 6.4982
Sb Rh Br
4 4 4
Cartesian
0.0000 0.0000 0.0000
0.0000 3.2491 3.2491
3.2491 0.0000 3.2491
3.2491 3.2491 0.0000
1.6245 1.6245 1.6245
1.6245 4.8736 4.8736
4.8736 1.6245 4.8736
4.8736 4.8736 1.6245
0.0000 0.0000 3.2491
0.0000 3.2491 0.0000
3.2491 0.0000 0.0000
3.2491 3.2491 3.2491

No. 7
SrCoPt2 | Alexandria via LeMat-Bulk | PBE-GGA | optimized geometry; DOS at the Fermi energy = 5.2 states/eV per cell; space group = P4/mmm (123); calculated total energy = -20.88 eV for the cell shown
1.0
4.1909 0.0000 0.0000
0.0000 4.1909 0.0000
0.0000 0.0000 4.1365
Sr Co Pt
1 1 2
Cartesian
0.0000 0.0000 0.0000
2.0955 2.0955 0.0000
0.0000 2.0955 2.0682
2.0955 0.0000 2.0682

No. 8
CdSi2SnMo | Alexandria via LeMat-Bulk | PBE-GGA | optimized geometry; DOS at the Fermi energy = 0.6 states/eV per cell; space group = P4/mmm (123); formation energy without anion corrections = 0.392 eV per atom; calculated total energy = -24.64 eV for the cell shown
1.0
4.7901 0.0000 0.0000
0.0000 4.7901 0.0000
0.0000 0.0000 5.3219
Cd Si Sn Mo
1 2 1 1
Cartesian
0.0000 0.0000 0.0000
0.0000 2.3950 2.6609
2.3950 0.0000 2.6609
2.3950 2.3950 0.0000
2.3950 2.3950 2.6609